i | # YTaAg2

YTaAg2 at its PBEsol-relaxed geometry (meta-GGA SCAN, the Alexandria database).

CIF file:
```
data_YTaAg2
_chemical_formula_sum 'Y1 Ta1 Ag2'
_cell_length_a 2.968
_cell_length_b 2.968
_cell_length_c 8.606
_cell_angle_alpha 90.00
_cell_angle_beta 90.00
_cell_angle_gamma 90.00
_space_group_name_H-M_alt 'P 1'
_space_group_IT_number 1
loop_
_space_group_symop_operation_xyz
'x,y,z'
loop_
_atom_site_label
_atom_site_fract_x
_atom_site_fract_y
_atom_site_fract_z
Y1 0.000 0.000 0.000
Ta1 0.000 0.000 0.500
Ag1 0.500 0.500 0.267
Ag2 0.500 0.500 0.733
```

Values from the calculation:
- total magnetization (μB/cell) = 0.00
- DOS at the Fermi energy (states/eV/cell) = 2.7
- ρ (kg/m3) = 10635



ii | # YTaAg2

YTaAg2 at its PBEsol-relaxed geometry (meta-GGA SCAN, the Alexandria database).

CIF file:
```
data_YTaAg2
_chemical_formula_sum 'Y1 Ta1 Ag2'
_cell_length_a 5.886
_cell_length_b 5.886
_cell_length_c 5.886
_cell_angle_alpha 150.23
_cell_angle_beta 129.29
_cell_angle_gamma 59.92
_space_group_name_H-M_alt 'P 1'
_space_group_IT_number 1
loop_
_space_group_symop_operation_xyz
'x,y,z'
loop_
_atom_site_label
_atom_site_fract_x
_atom_site_fract_y
_atom_site_fract_z
Y1 0.000 0.000 0.000
Ta1 0.733 0.233 0.500
Ag1 0.265 0.765 0.500
Ag2 0.492 0.492 0.000
```

Values from the calculation:
- total magnetization (μB/cell) = 0.00
- DOS at the Fermi energy (states/eV/cell) = 3.5
- ρ (kg/m3) = 10371



i wins, 10.3 kJ/mol of atoms ahead of the next structure.